(1)
! BaNbOs | OQMD via LeMat-Bulk | PBE | relaxed; values from VASP
&SYSTEM
  ibrav = 0, nat = 3, ntyp = 3
/
ATOMIC_SPECIES
Ba 137.33 Ba.upf
Nb 92.91 Nb.upf
Os 190.23 Os.upf
CELL_PARAMETERS angstrom
1.4294 -2.6737 3.5453
-1.5796 0.8070 4.3145
-2.9598 -3.0005 1.9995
ATOMIC_POSITIONS crystal
Ba 0.0000 0.0000 0.0000
Nb 0.2500 0.2500 0.2500
Os 0.7500 0.7500 0.7500
! E above lowest polymorph: 1217 meV/atom

***

(2)
! FeGeMoAu | OQMD via LeMat-Bulk | PBE | relaxed; values from VASP
&SYSTEM
  ibrav = 0, nat = 4, ntyp = 4
/
ATOMIC_SPECIES
Au 196.97 Au.upf
Fe 55.84 Fe.upf
Ge 72.64 Ge.upf
Mo 95.94 Mo.upf
CELL_PARAMETERS angstrom
-0.2450 -3.4989 -2.6807
-1.5519 -3.8424 1.5220
-3.9361 -1.4790 -1.3449
ATOMIC_POSITIONS crystal
Au 0.5000 0.5000 0.5000
Fe 0.7500 0.7500 0.7500
Ge 0.0000 0.0000 0.0000
Mo 0.2500 0.2500 0.2500
! E above lowest polymorph: 0 meV/atom

***

(3)
! SiSn3Pd4 | OQMD via LeMat-Bulk | PBE | relaxed; values from VASP
&SYSTEM
  ibrav = 0, nat = 8, ntyp = 3
/
ATOMIC_SPECIES
Pd 106.42 Pd.upf
Si 28.09 Si.upf
Sn 118.71 Sn.upf
CELL_PARAMETERS angstrom
-5.5019 -2.1929 1.6694
1.7023 -2.4347 2.4121
-0.2920 4.3872 4.6343
ATOMIC_POSITIONS crystal
Pd 0.5141 0.5000 0.2085
Pd 0.9640 0.5000 0.3198
Pd 0.9929 0.0000 0.6666
Pd 0.5144 0.0000 0.8039
Si 0.6926 0.0000 0.4120
Sn 0.1964 0.0000 0.0971
Sn 0.3092 0.5000 0.5849
Sn 0.8162 0.5000 0.9072
! final energy: -5.27 eV/atom

***

(4)
! SiNi2Te | OQMD via LeMat-Bulk | PBE | relaxed; values from VASP
&SYSTEM
  ibrav = 0, nat = 8, ntyp = 3
/
ATOMIC_SPECIES
Ni 58.69 Ni.upf
Si 28.09 Si.upf
Te 127.60 Te.upf
CELL_PARAMETERS angstrom
3.7891 0.0000 0.0000
0.0000 6.6324 0.0000
0.0000 0.0000 4.9696
ATOMIC_POSITIONS crystal
Ni 0.0000 0.9512 0.0318
Ni 0.5000 0.5011 0.4934
Ni 0.0000 0.0488 0.5318
Ni 0.5000 0.4989 0.9934
Si 0.0000 0.6335 0.2402
Si 0.0000 0.3665 0.7402
Te 0.5000 0.1689 0.2345
Te 0.5000 0.8311 0.7345
! E above lowest polymorph: 85 meV/atom

***

(5)
! Lu2Pt2S | OQMD via LeMat-Bulk | PBE | relaxed; values from VASP
&SYSTEM
  ibrav = 0, nat = 5, ntyp = 3
/
ATOMIC_SPECIES
Lu 174.97 Lu.upf
Pt 195.08 Pt.upf
S 32.06 S.upf
CELL_PARAMETERS angstrom
3.8193 0.0000 0.0000
-1.9097 3.3076 0.0000
0.0000 0.0000 8.4734
ATOMIC_POSITIONS crystal
Lu 0.3333 0.6667 0.2095
Lu 0.6667 0.3333 0.7905
Pt 0.6667 0.3333 0.4024
Pt 0.3333 0.6667 0.5976
S 0.0000 0.0000 0.0000
! final energy: -6.38 eV/atom

***

(6)
! FeCoCuSb | OQMD via LeMat-Bulk | PBE | relaxed; values from VASP
&SYSTEM
  ibrav = 0, nat = 4, ntyp = 4
/
ATOMIC_SPECIES
Co 58.93 Co.upf
Cu 63.55 Cu.upf
Fe 55.84 Fe.upf
Sb 121.76 Sb.upf
CELL_PARAMETERS angstrom
-0.8587 2.3802 3.3276
0.9349 4.0743 -0.0471
-3.0576 2.8440 -0.1974
ATOMIC_POSITIONS crystal
Co 0.5000 0.5000 0.5000
Cu 0.7500 0.7500 0.7500
Fe 0.0000 0.0000 0.0000
Sb 0.2500 0.2500 0.2500
! E above lowest polymorph: 0 meV/atom

***

(7)
! Ga2CuSn | OQMD via LeMat-Bulk | PBE | relaxed; values from VASP
&SYSTEM
  ibrav = 0, nat = 4, ntyp = 3
/
ATOMIC_SPECIES
Cu 63.55 Cu.upf
Ga 69.72 Ga.upf
Sn 118.71 Sn.upf
CELL_PARAMETERS angstrom
0.0000 3.3622 3.3622
3.3622 0.0000 3.3622
3.3622 3.3622 0.0000
ATOMIC_POSITIONS crystal
Cu 0.2500 0.2500 0.2500
Ga 0.0000 0.0000 0.0000
Ga 0.7500 0.7500 0.7500
Sn 0.5000 0.5000 0.5000
! final energy: -3.29 eV/atom

***

(8)
! PaP2O8 | OQMD via LeMat-Bulk | PBE | relaxed; values from VASP
&SYSTEM
  ibrav = 0, nat = 11, ntyp = 3
/
ATOMIC_SPECIES
O 16.00 O.upf
P 30.97 P.upf
Pa 231.04 Pa.upf
CELL_PARAMETERS angstrom
-5.1498 0.3920 1.7390
-1.8262 -1.9437 4.7523
2.3968 4.8408 1.1087
ATOMIC_POSITIONS crystal
O 0.6313 0.6313 0.1929
O 0.6421 0.1083 0.2198
O 0.1083 0.6421 0.2198
O 0.1637 0.1637 0.3952
O 0.8363 0.8363 0.6048
O 0.8917 0.3579 0.7802
O 0.3579 0.8917 0.7802
O 0.3687 0.3687 0.8071
P 0.7992 0.7992 0.3114
P 0.2008 0.2008 0.6886
Pa 0.0000 0.0000 0.0000
! final energy: -7.52 eV/atom

***

(9)
! Hf4SiC2S | OQMD via LeMat-Bulk | PBE | relaxed; values from VASP
&SYSTEM
  ibrav = 0, nat = 8, ntyp = 4
/
ATOMIC_SPECIES
C 12.01 C.upf
Hf 178.49 Hf.upf
S 32.06 S.upf
Si 28.09 Si.upf
CELL_PARAMETERS angstrom
3.3263 0.0000 0.0000
-1.6631 2.8806 0.0000
0.0000 0.0000 12.7407
ATOMIC_POSITIONS crystal
C 0.0000 0.0000 0.2603
C 0.0000 0.0000 0.7397
Hf 0.3333 0.6667 0.1624
Hf 0.6667 0.3333 0.3572
Hf 0.6667 0.3333 0.6428
Hf 0.3333 0.6667 0.8376
S 0.3333 0.6667 0.5000
Si 0.6667 0.3333 0.0000
! final energy: -9.53 eV/atom

***

(10)
! RbHoSO | OQMD via LeMat-Bulk | PBE | relaxed; values from VASP
&SYSTEM
  ibrav = 0, nat = 4, ntyp = 4
/
ATOMIC_SPECIES
Ho 164.93 Ho.upf
O 16.00 O.upf
Rb 85.47 Rb.upf
S 32.06 S.upf
CELL_PARAMETERS angstrom
1.8602 1.0740 7.1827
-1.8602 1.0740 7.1827
0.0000 -2.1480 7.1827
ATOMIC_POSITIONS crystal
Ho 0.5119 0.5119 0.5119
O 0.2237 0.2237 0.2237
Rb 0.9956 0.9956 0.9956
S 0.7689 0.7689 0.7689
! E above lowest polymorph: 95 meV/atom

***

(11)
! ZnIr7 | OQMD via LeMat-Bulk | PBE | relaxed; values from VASP
&SYSTEM
  ibrav = 0, nat = 16, ntyp = 2
/
ATOMIC_SPECIES
Ir 192.22 Ir.upf
Zn 65.41 Zn.upf
CELL_PARAMETERS angstrom
-0.8776 2.1127 -1.4928
-3.3097 0.0224 1.9774
14.0390 22.2560 23.2457
ATOMIC_POSITIONS crystal
Ir 0.5000 0.5000 0.2459
Ir 0.0000 0.0000 0.2856
Ir 0.5000 0.5000 0.3242
Ir 0.0000 0.0000 0.3638
Ir 0.5000 0.5000 0.4024
Ir 0.0000 0.0000 0.4412
Ir 0.5000 0.5000 0.4805
Ir 0.0000 0.0000 0.5195
Ir 0.5000 0.5000 0.5588
Ir 0.0000 0.0000 0.5976
Ir 0.5000 0.5000 0.6362
Ir 0.0000 0.0000 0.6758
Ir 0.5000 0.5000 0.7144
Ir 0.0000 0.0000 0.7541
Zn 0.0000 0.0000 0.2101
Zn 0.5000 0.5000 0.7899
! DFT formation energy: 63 meV/atom

***

(12)
! CsMgFeTe3 | OQMD via LeMat-Bulk | PBE | relaxed; values from VASP
&SYSTEM
  ibrav = 0, nat = 12, ntyp = 4
/
ATOMIC_SPECIES
Cs 132.91 Cs.upf
Fe 55.84 Fe.upf
Mg 24.30 Mg.upf
Te 127.60 Te.upf
CELL_PARAMETERS angstrom
-5.5001 4.6237 5.9023
-3.3023 -1.6383 -1.7939
3.1197 -10.6334 3.9683
ATOMIC_POSITIONS crystal
Cs 0.2559 0.7500 0.2368
Cs 0.7441 0.2500 0.7632
Fe 0.8501 0.7500 0.4062
Fe 0.1499 0.2500 0.5938
Mg 0.5981 0.2500 0.1196
Mg 0.4019 0.7500 0.8804
Te 0.7273 0.7500 0.0318
Te 0.9959 0.2500 0.3580
Te 0.6503 0.2500 0.3769
Te 0.3497 0.7500 0.6231
Te 0.0041 0.7500 0.6420
Te 0.2727 0.2500 0.9682
! E above lowest polymorph: 0 meV/atom

***

> Number 11 is which compound?

ZnIr7